# 1
First-principles (PBE) data for crystalline U4S3 at its relaxed geometry, as listed in Alexandria via LeMat-Bulk.

It has space group Pm-3m (No. 221), with a = 5.395 Å, b = 5.395 Å, c = 5.395 Å, α = 90.00°, β = 90.00° and γ = 90.00°. The asymmetric unit holds U at (0.000, 0.000, 0.000), U at (0.000, 0.500, 0.500) and S at (0.000, 0.000, 0.500).

Its magnetic moment is 9.50 μB per formula unit. As for the formation energy without anion corrections: -84.46 kJ/mol of atoms. The crystal system is cubic. The uncorrected energy comes out at -63.7 eV/cell.

# 2
First-principles (PBE) data for crystalline US2 at its relaxed geometry, as listed in Alexandria via LeMat-Bulk.

It has space group I422 (No. 97), with a = 10.598 Å, b = 10.598 Å, c = 5.182 Å, α = 90.00°, β = 90.00° and γ = 90.00°. The asymmetric unit holds U at (0.000, 0.000, 0.000), U at (0.163, 0.337, 0.750), S at (0.000, 0.500, 0.000) and S at (0.081, 0.219, 0.247).

Its magnetic moment is 2.19 μB per formula unit. As for the formation energy without anion corrections: -131.86 kJ/mol of atoms. The crystal system is tetragonal. The uncorrected energy comes out at -236.4 eV/cell.

# 3
First-principles (PBE) data for crystalline US2 at its relaxed geometry, as listed in Alexandria via LeMat-Bulk.

It has space group P-62m (No. 189), with a = 7.2510 Å, b = 7.2510 Å, c = 3.9306 Å, α = 90.00°, β = 90.00° and γ = 120.00°. The asymmetric unit holds U at (0.0000, 0.0000, 0.0000), U at (0.3333, 0.6667, 0.5000), S at (0.0000, 0.2581, 0.5000) and S at (0.0000, 0.5927, 0.0000).

Its magnetic moment is 1.99 μB per formula unit. As for the formation energy without anion corrections: -132.20 kJ/mol of atoms. The crystal system is hexagonal. The uncorrected energy comes out at -71.0 eV/cell.

# 4
First-principles (PBE) data for crystalline U4S3 at its relaxed geometry, as listed in Alexandria via LeMat-Bulk.

It has space group R-3m (No. 166, hexagonal axes), with a = 3.6886 Å, b = 3.6886 Å, c = 35.9079 Å, α = 90.00°, β = 90.00° and γ = 120.00°. The asymmetric unit holds U at (0.0000, 0.0000, 0.1197), U at (0.0000, 0.0000, 0.3532), S at (0.0000, 0.0000, 0.2610) and S at (0.0000, 0.0000, 0.5000).

Its magnetic moment is 4.36 μB per formula unit. As for the formation energy without anion corrections: -99.97 kJ/mol of atoms. The crystal system is trigonal. The uncorrected energy comes out at -194.4 eV/cell.

# 5
First-principles (PBE) data for crystalline U2VS at its relaxed geometry, as listed in Alexandria via LeMat-Bulk.

It has space group R-3m (No. 166, hexagonal axes), with a = 5.1102 Å, b = 5.1102 Å, c = 9.9434 Å, α = 90.00°, β = 90.00° and γ = 120.00°. The asymmetric unit holds U at (0.0000, 0.0000, 0.2403), V at (0.0000, 0.0000, 0.0000) and S at (0.0000, 0.0000, 0.5000).

Its magnetic moment is 0.84 μB per formula unit. As for the formation energy without anion corrections: 4.76 kJ/mol of atoms. The crystal system is trigonal. The uncorrected energy comes out at -106.9 eV/cell.

# 6
First-principles (PBE) data for crystalline U8VS17 at its relaxed geometry, as listed in Alexandria via LeMat-Bulk.

It has space group C2/m (No. 12), with a = 13.164 Å, b = 8.339 Å, c = 10.316 Å, α = 90.00°, β = 101.08° and γ = 90.00°. The asymmetric unit holds U at (0.060, 0.241, 0.202), U at (0.183, 0.500, 0.517), U at (0.204, 0.000, 0.957), V at (0.000, 0.000, 0.500), S at (0.000, 0.000, 0.000), S at (0.021, 0.500, 0.669), S at (0.060, 0.000, 0.728), S at (0.127, 0.306, 0.965), S at (0.132, 0.191, 0.471), S at (0.198, 0.500, 0.255) and S at (0.212, 0.000, 0.222).

Its magnetic moment is 19.01 μB per formula unit. As for the formation energy without anion corrections: -134.97 kJ/mol of atoms. The crystal system is monoclinic. The uncorrected energy comes out at -411.9 eV/cell.

# 7
First-principles (PBE) data for crystalline U2VS5 at its relaxed geometry, as listed in Alexandria via LeMat-Bulk.

It has space group Cmcm (No. 63), with a = 5.300 Å, b = 12.446 Å, c = 12.128 Å, α = 90.00°, β = 90.00° and γ = 90.00°. The asymmetric unit holds U at (0.000, 0.151, 0.066), V at (0.000, 0.202, 0.750), S at (0.000, 0.052, 0.625), S at (0.000, 0.274, 0.250) and S at (0.000, 0.324, 0.582).

Its magnetic moment is 7.01 μB per formula unit. As for the formation energy without anion corrections: -111.40 kJ/mol of atoms. The crystal system is orthorhombic. The uncorrected energy comes out at -246.3 eV/cell.

# 8
First-principles (PBE) data for crystalline U2VS6 at its relaxed geometry, as listed in Alexandria via LeMat-Bulk.

It has space group P2_1/c (No. 14), with a = 5.993 Å, b = 6.947 Å, c = 10.299 Å, α = 90.00°, β = 123.69° and γ = 90.00°. The asymmetric unit holds U at (0.193, 0.120, 0.241), V at (0.500, 0.000, 0.000), S at (0.111, 0.178, 0.943), S at (0.287, 0.690, 0.937) and S at (0.386, 0.040, 0.741).

Its magnetic moment is 5.03 μB per formula unit. As for the formation energy without anion corrections: -117.21 kJ/mol of atoms. The crystal system is monoclinic. The uncorrected energy comes out at -134.8 eV/cell.

# 9
First-principles (PBE) data for crystalline UV2S6 at its relaxed geometry, as listed in Alexandria via LeMat-Bulk.

It has space group C2/m (No. 12), with a = 12.315 Å, b = 4.618 Å, c = 8.091 Å, α = 90.00°, β = 126.51° and γ = 90.00°. The asymmetric unit holds U at (0.000, 0.000, 0.000), V at (0.181, 0.000, 0.598), S at (0.037, 0.000, 0.704), S at (0.138, 0.500, 0.053) and S at (0.240, 0.500, 0.616).

Its magnetic moment is 4.00 μB per formula unit. As for the formation energy without anion corrections: -88.44 kJ/mol of atoms. The crystal system is monoclinic. The uncorrected energy comes out at -125.1 eV/cell.

# 10
First-principles (PBE) data for crystalline U2VS6 at its relaxed geometry, as listed in Alexandria via LeMat-Bulk.

It has space group P4_2/mnm (No. 136), with a = 6.113 Å, b = 6.113 Å, c = 11.382 Å, α = 90.00°, β = 90.00° and γ = 90.00°. The asymmetric unit holds U at (0.000, 0.000, 0.173), V at (0.000, 0.000, 0.500), S at (0.194, 0.194, 0.349) and S at (0.205, 0.205, 0.000).

Its magnetic moment is 5.00 μB per formula unit. As for the formation energy without anion corrections: -105.61 kJ/mol of atoms. The crystal system is tetragonal. The uncorrected energy comes out at -132.6 eV/cell.

# 11
First-principles (PBE) data for crystalline U2V2S7 at its relaxed geometry, as listed in Alexandria via LeMat-Bulk.

It has space group Imm2 (No. 44), with a = 3.691 Å, b = 13.051 Å, c = 8.490 Å, α = 90.00°, β = 90.00° and γ = 90.00°. The asymmetric unit holds U at (0.000, 0.242, 0.000), V at (0.000, 0.000, 0.163), V at (0.000, 0.500, 0.196), S at (0.000, 0.000, 0.890), S at (0.000, 0.108, 0.508), S at (0.000, 0.325, 0.294) and S at (0.000, 0.374, 0.683).

Its magnetic moment is 7.76 μB per formula unit. As for the formation energy without anion corrections: -96.53 kJ/mol of atoms. The crystal system is orthorhombic. The uncorrected energy comes out at -161.4 eV/cell.

# 12
First-principles (PBE) data for crystalline UWS2 at its relaxed geometry, as listed in Alexandria via LeMat-Bulk.

It has space group R-3m (No. 166, hexagonal axes), with a = 3.1452 Å, b = 3.1452 Å, c = 24.2442 Å, α = 90.00°, β = 90.00° and γ = 120.00°. The asymmetric unit holds U at (0.0000, 0.0000, 0.0000), W at (0.0000, 0.0000, 0.5000) and S at (0.0000, 0.0000, 0.2369).

Its magnetic moment is 2.71 μB per formula unit. As for the formation energy without anion corrections: -25.05 kJ/mol of atoms. The crystal system is trigonal. The uncorrected energy comes out at -100.6 eV/cell.

# 13
First-principles (PBE) data for crystalline U3WS6 at its relaxed geometry, as listed in Alexandria via LeMat-Bulk.

It has space group R-3 (No. 148, hexagonal axes), with a = 11.4712 Å, b = 11.4712 Å, c = 11.1452 Å, α = 90.00°, β = 90.00° and γ = 120.00°. The asymmetric unit holds U at (0.0480, 0.4367, 0.3181), W at (0.0000, 0.0000, 0.0000), W at (0.0000, 0.0000, 0.5000), S at (0.0356, 0.2068, 0.3979) and S at (0.0548, 0.1948, 0.8767).

Its magnetic moment is 6.19 μB per formula unit. As for the formation energy without anion corrections: -104.71 kJ/mol of atoms. The crystal system is trigonal. The uncorrected energy comes out at -494.6 eV/cell.

# 14
First-principles (PBE) data for crystalline Y2U3S8 at its relaxed geometry, as listed in Alexandria via LeMat-Bulk.

It has space group C2/m (No. 12), with a = 13.994 Å, b = 7.833 Å, c = 6.585 Å, α = 90.00°, β = 109.17° and γ = 90.00°. The asymmetric unit holds Y at (0.240, 0.000, 0.163), U at (0.000, 0.241, 0.500), U at (0.000, 0.500, 0.000), S at (0.115, 0.000, 0.405), S at (0.118, 0.500, 0.425) and S at (0.126, 0.265, 0.915).

Its magnetic moment is 8.00 μB per formula unit. As for the formation energy without anion corrections: -151.84 kJ/mol of atoms. The crystal system is monoclinic. The uncorrected energy comes out at -200.5 eV/cell.

# 15
First-principles (PBE) data for crystalline Y3U2S6 at its relaxed geometry, as listed in Alexandria via LeMat-Bulk.

It has space group R-3m (No. 166, hexagonal axes), with a = 3.9183 Å, b = 3.9183 Å, c = 57.8860 Å, α = 90.00°, β = 90.00° and γ = 120.00°. The asymmetric unit holds Y at (0.0000, 0.0000, 0.0000), Y at (0.0000, 0.0000, 0.2773), U at (0.0000, 0.0000, 0.4441), S at (0.0000, 0.0000, 0.0829), S at (0.0000, 0.0000, 0.1979) and S at (0.0000, 0.0000, 0.3609).

Its magnetic moment is 4.99 μB per formula unit. As for the formation energy without anion corrections: -165.05 kJ/mol of atoms. The crystal system is trigonal. The uncorrected energy comes out at -256.6 eV/cell.

# 16
First-principles (PBE) data for crystalline Y4U3S8 at its relaxed geometry, as listed in Alexandria via LeMat-Bulk.

It has space group C2/m (No. 12), with a = 10.999 Å, b = 11.004 Å, c = 7.778 Å, α = 90.00°, β = 134.94° and γ = 90.00°. The asymmetric unit holds Y at (0.000, 0.000, 0.000), Y at (0.000, 0.500, 0.500), Y at (0.250, 0.250, 0.000), U at (0.000, 0.000, 0.500), U at (0.250, 0.250, 0.500), S at (0.000, 0.250, 0.500), S at (0.000, 0.252, 0.000), S at (0.248, 0.500, 0.496) and S at (0.249, 0.500, 0.001).

Its magnetic moment is 7.98 μB per formula unit. As for the formation energy without anion corrections: -168.87 kJ/mol of atoms. The crystal system is monoclinic. The uncorrected energy comes out at -238.0 eV/cell.

# 17
First-principles (PBE) data for crystalline YU2S5 at its relaxed geometry, as listed in Alexandria via LeMat-Bulk.

It has space group Pnma (No. 62), with a = 11.789 Å, b = 7.837 Å, c = 7.363 Å, α = 90.00°, β = 90.00° and γ = 90.00°. The asymmetric unit holds Y at (0.006, 0.250, 0.077), U at (0.181, 0.001, 0.513), S at (0.001, 0.250, 0.467), S at (0.105, 0.542, 0.162), S at (0.186, 0.250, 0.823) and S at (0.215, 0.750, 0.795).

Its magnetic moment is 4.99 μB per formula unit. As for the formation energy without anion corrections: -153.71 kJ/mol of atoms. The crystal system is orthorhombic. The uncorrected energy comes out at -249.7 eV/cell.

# 18
First-principles (PBE) data for crystalline Y6US12 at its relaxed geometry, as listed in Alexandria via LeMat-Bulk.

It has space group R-3 (No. 148, hexagonal axes), with a = 11.9347 Å, b = 11.9347 Å, c = 11.3357 Å, α = 90.00°, β = 90.00° and γ = 120.00°. The asymmetric unit holds Y at (0.0421, 0.7769, 0.1328), U at (0.0000, 0.0000, 0.5000), S at (0.0289, 0.8119, 0.8934) and S at (0.0466, 0.8481, 0.3776).

Its magnetic moment is 0.00 μB per formula unit. As for the formation energy without anion corrections: -179.21 kJ/mol of atoms. The crystal system is trigonal. The uncorrected energy comes out at -404.7 eV/cell.

# 19
First-principles (PBE) data for crystalline YU6S8 at its relaxed geometry, as listed in Alexandria via LeMat-Bulk.

It has space group R-3 (No. 148, hexagonal axes), with a = 8.4468 Å, b = 8.4468 Å, c = 15.5358 Å, α = 90.00°, β = 90.00° and γ = 120.00°. The asymmetric unit holds Y at (0.0000, 0.0000, 0.0000), U at (0.0174, 0.5934, 0.0635), S at (0.0000, 0.0000, 0.3149) and S at (0.0259, 0.2770, 0.0980).

Its magnetic moment is 5.28 μB per formula unit. As for the formation energy without anion corrections: -118.23 kJ/mol of atoms. The crystal system is trigonal. The uncorrected energy comes out at -376.8 eV/cell.